No. 1
VASP calculation (PBE) on a geometry-optimized SrTi structure.

Cell and atoms, written as CIF:
```
data_SrTi
_chemical_formula_sum 'Sr6 Ti6'
_space_group_name_H-M_alt 'P 1'
_space_group_IT_number 1
_cell_length_a 9.5349
_cell_length_b 9.5349
_cell_length_c 9.5349
_cell_angle_alpha 90.00
_cell_angle_beta 90.00
_cell_angle_gamma 90.00
loop_
_space_group_symop_operation_xyz
'x,y,z'
loop_
_atom_site_label
_atom_site_type_symbol
_atom_site_fract_x
_atom_site_fract_y
_atom_site_fract_z
Sr1 Sr 0.0000 0.2500 0.5000
Sr2 Sr 0.0000 0.7500 0.5000
Sr3 Sr 0.2500 0.5000 0.0000
Sr4 Sr 0.5000 0.0000 0.2500
Sr5 Sr 0.5000 0.0000 0.7500
Sr6 Sr 0.7500 0.5000 0.0000
Ti1 Ti 0.0000 0.5000 0.2500
Ti2 Ti 0.0000 0.5000 0.7500
Ti3 Ti 0.2500 0.0000 0.5000
Ti4 Ti 0.5000 0.2500 0.0000
Ti5 Ti 0.5000 0.7500 0.0000
Ti6 Ti 0.7500 0.0000 0.5000
```

Values from the calculation:
energy above the lowest structure with this stoichiometry: 1715 meV/atom
symmetry: No. 223

***

No. 2
VASP calculation (PBE) on a geometry-optimized Sr4Ti structure.

Cell and atoms, written as CIF:
```
data_Sr4Ti
_chemical_formula_sum 'Sr4 Ti1'
_space_group_name_H-M_alt 'P 1'
_space_group_IT_number 1
_cell_length_a 6.3854
_cell_length_b 6.3854
_cell_length_c 6.3854
_cell_angle_alpha 90.00
_cell_angle_beta 90.00
_cell_angle_gamma 90.00
loop_
_space_group_symop_operation_xyz
'x,y,z'
loop_
_atom_site_label
_atom_site_type_symbol
_atom_site_fract_x
_atom_site_fract_y
_atom_site_fract_z
Sr1 Sr 0.0000 0.0000 0.0000
Sr2 Sr 0.0000 0.5000 0.5000
Sr3 Sr 0.5000 0.0000 0.5000
Sr4 Sr 0.5000 0.5000 0.0000
Ti1 Ti 0.5000 0.5000 0.5000
```

Values from the calculation:
symmetry: No. 221

***

No. 3
VASP calculation (PBE) on a geometry-optimized SrTi4 structure.

Cell and atoms, written as CIF:
```
data_SrTi4
_chemical_formula_sum 'Sr1 Ti4'
_space_group_name_H-M_alt 'P 1'
_space_group_IT_number 1
_cell_length_a 4.7396
_cell_length_b 4.7396
_cell_length_c 4.7396
_cell_angle_alpha 90.00
_cell_angle_beta 90.00
_cell_angle_gamma 90.00
loop_
_space_group_symop_operation_xyz
'x,y,z'
loop_
_atom_site_label
_atom_site_type_symbol
_atom_site_fract_x
_atom_site_fract_y
_atom_site_fract_z
Sr1 Sr 0.0000 0.0000 0.0000
Ti1 Ti 0.0000 0.0000 0.5000
Ti2 Ti 0.0000 0.5000 0.0000
Ti3 Ti 0.5000 0.0000 0.0000
Ti4 Ti 0.5000 0.5000 0.5000
```

Values from the calculation:
symmetry: No. 221

***

No. 4
VASP calculation (PBE) on a geometry-optimized SrTi structure.

Cell and atoms, written as CIF:
```
data_SrTi
_chemical_formula_sum 'Sr4 Ti4'
_space_group_name_H-M_alt 'P 1'
_space_group_IT_number 1
_cell_length_a 6.6612
_cell_length_b 6.6612
_cell_length_c 6.6612
_cell_angle_alpha 90.00
_cell_angle_beta 90.00
_cell_angle_gamma 90.00
loop_
_space_group_symop_operation_xyz
'x,y,z'
loop_
_atom_site_label
_atom_site_type_symbol
_atom_site_fract_x
_atom_site_fract_y
_atom_site_fract_z
Sr1 Sr 0.0000 0.0000 0.0000
Sr2 Sr 0.0000 0.5000 0.5000
Sr3 Sr 0.5000 0.0000 0.5000
Sr4 Sr 0.5000 0.5000 0.0000
Ti1 Ti 0.0000 0.0000 0.5000
Ti2 Ti 0.0000 0.5000 0.0000
Ti3 Ti 0.5000 0.0000 0.0000
Ti4 Ti 0.5000 0.5000 0.5000
```

Values from the calculation:
energy above the lowest structure with this stoichiometry: 949 meV/atom
symmetry: No. 225

***

No. 5
VASP calculation (PBE) on a geometry-optimized SrTi structure.

Cell and atoms, written as CIF:
```
data_SrTi
_chemical_formula_sum 'Sr1 Ti1'
_space_group_name_H-M_alt 'P 1'
_space_group_IT_number 1
_cell_length_a 3.4624
_cell_length_b 3.4624
_cell_length_c 5.7736
_cell_angle_alpha 90.00
_cell_angle_beta 90.00
_cell_angle_gamma 120.00
loop_
_space_group_symop_operation_xyz
'x,y,z'
loop_
_atom_site_label
_atom_site_type_symbol
_atom_site_fract_x
_atom_site_fract_y
_atom_site_fract_z
Sr1 Sr 0.0000 0.0000 0.0000
Ti1 Ti 0.6667 0.3333 0.5000
```

Values from the calculation:
energy above the lowest structure with this stoichiometry: 463 meV/atom
symmetry: No. 187

***

No. 6
VASP calculation (PBE) on a geometry-optimized SrTi structure.

Cell and atoms, written as CIF:
```
data_SrTi
_chemical_formula_sum 'Sr2 Ti2'
_space_group_name_H-M_alt 'P 1'
_space_group_IT_number 1
_cell_length_a 5.9358
_cell_length_b 5.9358
_cell_length_c 6.6960
_cell_angle_alpha 90.00
_cell_angle_beta 90.00
_cell_angle_gamma 120.00
loop_
_space_group_symop_operation_xyz
'x,y,z'
loop_
_atom_site_label
_atom_site_type_symbol
_atom_site_fract_x
_atom_site_fract_y
_atom_site_fract_z
Sr1 Sr 0.3333 0.6667 0.2500
Sr2 Sr 0.6667 0.3333 0.7500
Ti1 Ti 0.3333 0.6667 0.7500
Ti2 Ti 0.6667 0.3333 0.2500
```

Values from the calculation:
energy above the lowest structure with this stoichiometry: 1323 meV/atom
symmetry: No. 194

***

No. 7
VASP calculation (PBE) on a geometry-optimized SrTi structure.

Cell and atoms, written as CIF:
```
data_SrTi
_chemical_formula_sum 'Sr2 Ti2'
_space_group_name_H-M_alt 'P 1'
_space_group_IT_number 1
_cell_length_a 3.6842
_cell_length_b 3.6842
_cell_length_c 9.2769
_cell_angle_alpha 90.00
_cell_angle_beta 90.00
_cell_angle_gamma 90.00
loop_
_space_group_symop_operation_xyz
'x,y,z'
loop_
_atom_site_label
_atom_site_type_symbol
_atom_site_fract_x
_atom_site_fract_y
_atom_site_fract_z
Sr1 Sr 0.2500 0.2500 0.1871
Sr2 Sr 0.7500 0.7500 0.8129
Ti1 Ti 0.2500 0.2500 0.5554
Ti2 Ti 0.7500 0.7500 0.4446
```

Values from the calculation:
energy above the lowest structure with this stoichiometry: 0 meV/atom
symmetry: No. 129

***

No. 8
VASP calculation (PBE) on a geometry-optimized SrTi structure.

Cell and atoms, written as CIF:
```
data_SrTi
_chemical_formula_sum 'Sr8 Ti8'
_space_group_name_H-M_alt 'P 1'
_space_group_IT_number 1
_cell_length_a 12.2711
_cell_length_b 12.2711
_cell_length_c 4.3200
_cell_angle_alpha 90.00
_cell_angle_beta 90.00
_cell_angle_gamma 90.00
loop_
_space_group_symop_operation_xyz
'x,y,z'
loop_
_atom_site_label
_atom_site_type_symbol
_atom_site_fract_x
_atom_site_fract_y
_atom_site_fract_z
Sr1 Sr 0.0000 0.2665 0.0000
Sr2 Sr 0.0000 0.7335 0.0000
Sr3 Sr 0.2335 0.5000 0.5000
Sr4 Sr 0.2665 0.0000 0.0000
Sr5 Sr 0.5000 0.2335 0.5000
Sr6 Sr 0.5000 0.7665 0.5000
Sr7 Sr 0.7335 0.0000 0.0000
Sr8 Sr 0.7665 0.5000 0.5000
Ti1 Ti 0.2202 0.2202 0.5000
Ti2 Ti 0.2202 0.7798 0.5000
Ti3 Ti 0.2798 0.2798 0.0000
Ti4 Ti 0.2798 0.7202 0.0000
Ti5 Ti 0.7202 0.2798 0.0000
Ti6 Ti 0.7202 0.7202 0.0000
Ti7 Ti 0.7798 0.2202 0.5000
Ti8 Ti 0.7798 0.7798 0.5000
```

Values from the calculation:
energy above the lowest structure with this stoichiometry: 427 meV/atom
symmetry: No. 139

***

No. 9
VASP calculation (PBE) on a geometry-optimized SrTi structure.

Cell and atoms, written as CIF:
```
data_SrTi
_chemical_formula_sum 'Sr6 Ti6'
_space_group_name_H-M_alt 'P 1'
_space_group_IT_number 1
_cell_length_a 3.5877
_cell_length_b 14.2772
_cell_length_c 7.7375
_cell_angle_alpha 90.00
_cell_angle_beta 90.00
_cell_angle_gamma 90.00
loop_
_space_group_symop_operation_xyz
'x,y,z'
loop_
_atom_site_label
_atom_site_type_symbol
_atom_site_fract_x
_atom_site_fract_y
_atom_site_fract_z
Sr1 Sr 0.0000 0.0000 0.0000
Sr2 Sr 0.0000 0.2844 0.2006
Sr3 Sr 0.0000 0.7156 0.2006
Sr4 Sr 0.5000 0.2156 0.7006
Sr5 Sr 0.5000 0.5000 0.5000
Sr6 Sr 0.5000 0.7844 0.7006
Ti1 Ti 0.0000 0.0000 0.5532
Ti2 Ti 0.0000 0.4146 0.8430
Ti3 Ti 0.0000 0.5854 0.8430
Ti4 Ti 0.5000 0.0854 0.3430
Ti5 Ti 0.5000 0.5000 0.0532
Ti6 Ti 0.5000 0.9146 0.3430
```

Values from the calculation:
energy above the lowest structure with this stoichiometry: 132 meV/atom
symmetry: No. 44

***

No. 10
VASP calculation (PBE) on a geometry-optimized Sr2TiTl structure.

Cell and atoms, written as CIF:
```
data_Sr2TiTl
_chemical_formula_sum 'Sr8 Ti4 Tl4'
_space_group_name_H-M_alt 'P 1'
_space_group_IT_number 1
_cell_length_a 8.1169
_cell_length_b 8.1169
_cell_length_c 8.1169
_cell_angle_alpha 90.00
_cell_angle_beta 90.00
_cell_angle_gamma 90.00
loop_
_space_group_symop_operation_xyz
'x,y,z'
loop_
_atom_site_label
_atom_site_type_symbol
_atom_site_fract_x
_atom_site_fract_y
_atom_site_fract_z
Sr1 Sr 0.2500 0.2500 0.2500
Sr2 Sr 0.2500 0.2500 0.7500
Sr3 Sr 0.2500 0.7500 0.2500
Sr4 Sr 0.2500 0.7500 0.7500
Sr5 Sr 0.7500 0.2500 0.2500
Sr6 Sr 0.7500 0.2500 0.7500
Sr7 Sr 0.7500 0.7500 0.2500
Sr8 Sr 0.7500 0.7500 0.7500
Ti1 Ti 0.0000 0.0000 0.0000
Ti2 Ti 0.0000 0.5000 0.5000
Ti3 Ti 0.5000 0.0000 0.5000
Ti4 Ti 0.5000 0.5000 0.0000
Tl1 Tl 0.0000 0.0000 0.5000
Tl2 Tl 0.0000 0.5000 0.0000
Tl3 Tl 0.5000 0.0000 0.0000
Tl4 Tl 0.5000 0.5000 0.5000
```

Values from the calculation:
energy above the lowest structure with this stoichiometry: 0 meV/atom
symmetry: No. 225

***

No. 11
VASP calculation (PBE) on a geometry-optimized SrTiTl2 structure.

Cell and atoms, written as CIF:
```
data_SrTiTl2
_chemical_formula_sum 'Sr4 Ti4 Tl8'
_space_group_name_H-M_alt 'P 1'
_space_group_IT_number 1
_cell_length_a 5.3747
_cell_length_b 5.3747
_cell_length_c 19.0036
_cell_angle_alpha 90.00
_cell_angle_beta 90.00
_cell_angle_gamma 90.00
loop_
_space_group_symop_operation_xyz
'x,y,z'
loop_
_atom_site_label
_atom_site_type_symbol
_atom_site_fract_x
_atom_site_fract_y
_atom_site_fract_z
Sr1 Sr 0.0000 0.0000 0.0000
Sr2 Sr 0.0000 0.5000 0.2500
Sr3 Sr 0.5000 0.0000 0.7500
Sr4 Sr 0.5000 0.5000 0.5000
Ti1 Ti 0.0000 0.0000 0.5000
Ti2 Ti 0.0000 0.5000 0.7500
Ti3 Ti 0.5000 0.0000 0.2500
Ti4 Ti 0.5000 0.5000 0.0000
Tl1 Tl 0.1460 0.2500 0.6250
Tl2 Tl 0.2500 0.6460 0.8750
Tl3 Tl 0.2500 0.8540 0.3750
Tl4 Tl 0.3540 0.2500 0.1250
Tl5 Tl 0.6460 0.7500 0.1250
Tl6 Tl 0.7500 0.1460 0.3750
Tl7 Tl 0.7500 0.3540 0.8750
Tl8 Tl 0.8540 0.7500 0.6250
```

Values from the calculation:
symmetry: No. 122

***

No. 12
VASP calculation (PBE) on a geometry-optimized Sr2TiTl structure.

Cell and atoms, written as CIF:
```
data_Sr2TiTl
_chemical_formula_sum 'Sr8 Ti4 Tl4'
_space_group_name_H-M_alt 'P 1'
_space_group_IT_number 1
_cell_length_a 9.1041
_cell_length_b 9.1041
_cell_length_c 6.6964
_cell_angle_alpha 90.00
_cell_angle_beta 90.00
_cell_angle_gamma 90.00
loop_
_space_group_symop_operation_xyz
'x,y,z'
loop_
_atom_site_label
_atom_site_type_symbol
_atom_site_fract_x
_atom_site_fract_y
_atom_site_fract_z
Sr1 Sr 0.2393 0.2500 0.1250
Sr2 Sr 0.2500 0.7393 0.3750
Sr3 Sr 0.2500 0.7607 0.8750
Sr4 Sr 0.2607 0.2500 0.6250
Sr5 Sr 0.7393 0.7500 0.6250
Sr6 Sr 0.7500 0.2393 0.8750
Sr7 Sr 0.7500 0.2607 0.3750
Sr8 Sr 0.7607 0.7500 0.1250
Ti1 Ti 0.0000 0.0000 0.5000
Ti2 Ti 0.0000 0.5000 0.7500
Ti3 Ti 0.5000 0.0000 0.2500
Ti4 Ti 0.5000 0.5000 0.0000
Tl1 Tl 0.0000 0.0000 0.0000
Tl2 Tl 0.0000 0.5000 0.2500
Tl3 Tl 0.5000 0.0000 0.7500
Tl4 Tl 0.5000 0.5000 0.5000
```

Values from the calculation:
energy above the lowest structure with this stoichiometry: 221 meV/atom
symmetry: No. 122

***

No. 13
VASP calculation (PBE) on a geometry-optimized Sr2TiTlZn structure.

Cell and atoms, written as CIF:
```
data_Sr2TiTlZn
_chemical_formula_sum 'Sr2 Ti1 Tl1 Zn1'
_space_group_name_H-M_alt 'P 1'
_space_group_IT_number 1
_cell_length_a 6.3268
_cell_length_b 6.3268
_cell_length_c 4.9710
_cell_angle_alpha 90.00
_cell_angle_beta 90.00
_cell_angle_gamma 90.00
loop_
_space_group_symop_operation_xyz
'x,y,z'
loop_
_atom_site_label
_atom_site_type_symbol
_atom_site_fract_x
_atom_site_fract_y
_atom_site_fract_z
Sr1 Sr 0.0000 0.5000 0.0000
Sr2 Sr 0.5000 0.0000 0.0000
Ti1 Ti 0.0000 0.0000 0.5000
Tl1 Tl 0.5000 0.5000 0.0000
Zn1 Zn 0.5000 0.5000 0.5000
```

Values from the calculation:
symmetry: No. 123

***

no.,spin magnetization (μB per cell),ΔH_f (0 K) (eV per atom)
1,23.645,2.127
2,3.895,0.559
3,0.767,1.855
4,10.091,1.361
5,1.831,0.875
6,7.735,1.735
7,2.283,0.412
8,0.000,0.839
9,0.000,0.544
10,11.933,0.288
11,1.736,0.353
12,11.919,0.509
13,0.142,0.756